## A
A geometry-optimized HgTeNO structure. Source: the Open Quantum Materials Database, functional PBE.

a = 4.9230 Å, b = 4.9230 Å, c = 4.9729 Å
α = 90.00°, β = 90.00°, γ = 90.00°
Closest atoms and distances in Å follow each position.
Space group P4/nmm (No. 129, origin choice 2)
Inequivalent atoms, fractional coordinates:
Hg 0.2500 0.2500 0.0033  4 O 2.46, 2 N 2.48-2.50
Te 0.2500 0.7500 0.5000  4 N 2.46, 2 O 2.49
N 0.2500 0.2500 0.5015  4 Te 2.46, 2 Hg 2.48-2.50
O 0.2500 0.7500 0.0000  4 Hg 2.46, 2 Te 2.49


## B
A geometry-optimized HgTeNO structure. Source: the Open Quantum Materials Database, functional PBE.

a = 3.8094 Å, b = 3.8094 Å, c = 8.2306 Å
α = 90.00°, β = 90.00°, γ = 90.00°
Closest atoms and distances in Å follow each position.
Space group P4/nmm (No. 129, origin choice 2)
Inequivalent atoms, fractional coordinates:
Hg 0.2500 0.7500 0.0000  4 N 2.61, 4 Hg 2.69
Te 0.2500 0.2500 0.3454  4 O 2.29
N 0.2500 0.2500 0.7834  4 Hg 2.61, 4 Te 2.89
O 0.2500 0.7500 0.5000  4 Te 2.29


Looking at the structures above, which would you pick as the most stable? I would pick A.